{
  "formula": "CsTmIrO6",
  "functional": "GGA-PBE",
  "state": "relaxed",
  "formation_energy_uncorrected_ev_per_fu": -13.42,
  "lattice_angstrom": [[5.596, 0.000, 0.000], [-2.798, 4.846, 0.000], [0.000, 0.000, 6.605]],
  "species": ["Cs", "Tm", "Ir", "O", "O", "O", "O", "O", "O"],
  "frac_coords": [[0.000, 0.000, 0.000], [0.333, 0.667, 0.500], [0.667, 0.333, 0.500], [0.407, 0.042, 0.666], [0.407, 0.365, 0.334], [0.635, 0.042, 0.334], [0.635, 0.593, 0.666], [0.958, 0.365, 0.666], [0.958, 0.593, 0.334]]
}



{
  "formula": "Sc3BiPb",
  "functional": "GGA-PBE",
  "state": "relaxed",
  "de_polymorph_ev_per_atom": 0.000,
  "formation_energy_ev_per_atom": -0.320,
  "lattice_angstrom": [[5.688, -2.268, 0.000], [5.688, 2.268, 0.000], [-1.810, 0.000, 10.291]],
  "species": ["Sc", "Sc", "Sc", "Sc", "Sc", "Sc", "Bi", "Bi", "Pb", "Pb"],
  "frac_coords": [[0.088, 0.088, 0.166], [0.147, 0.147, 0.552], [0.393, 0.393, 0.077], [0.607, 0.607, 0.923], [0.853, 0.853, 0.448], [0.912, 0.912, 0.834], [0.226, 0.226, 0.829], [0.774, 0.774, 0.171], [0.439, 0.439, 0.632], [0.561, 0.561, 0.368]]
}



{
  "formula": "NaTbGePd",
  "functional": "GGA-PBE",
  "state": "relaxed",
  "formation_energy_ev_per_atom": -0.479,
  "lattice_angstrom": [[0.000, 3.366, 3.366], [3.366, 0.000, 3.366], [3.366, 3.366, 0.000]],
  "species": ["Na", "Tb", "Ge", "Pd"],
  "frac_coords": [[0.000, 0.000, 0.000], [0.250, 0.250, 0.250], [0.750, 0.750, 0.750], [0.500, 0.500, 0.500]]
}



{
  "formula": "BaLaPm",
  "functional": "GGA-PBE",
  "state": "relaxed",
  "de_polymorph_ev_per_atom": 0.001,
  "formation_energy_ev_per_atom": 0.123,
  "lattice_angstrom": [[-1.924, 1.924, 8.559], [1.924, -1.924, 8.559], [1.924, 1.924, -8.559]],
  "species": ["Ba", "La", "Pm"],
  "frac_coords": [[0.000, 0.000, 0.000], [0.685, 0.685, 0.000], [0.322, 0.322, 0.000]]
}



{
  "formula": "LiGaMoOs",
  "functional": "GGA-PBE",
  "state": "relaxed",
  "formation_energy_ev_per_atom": -0.201,
  "lattice_angstrom": [[0.000, 3.038, 3.038], [3.038, 0.000, 3.038], [3.038, 3.038, 0.000]],
  "species": ["Li", "Ga", "Mo", "Os"],
  "frac_coords": [[0.000, 0.000, 0.000], [0.750, 0.750, 0.750], [0.250, 0.250, 0.250], [0.500, 0.500, 0.500]]
}



{
  "formula": "Ba2HfFeB",
  "functional": "GGA-PBE",
  "state": "relaxed",
  "formation_energy_ev_per_atom": 1.634,
  "lattice_angstrom": [[6.424, 0.000, 0.000], [0.000, 6.424, 0.000], [0.000, 0.000, 4.328]],
  "species": ["Ba", "Ba", "Hf", "Fe", "B"],
  "frac_coords": [[0.000, 0.500, 0.000], [0.500, 0.000, 0.000], [0.000, 0.000, 0.000], [0.000, 0.000, 0.500], [0.500, 0.500, 0.500]]
}



{
  "formula": "HoInHg4",
  "functional": "GGA-PBE",
  "state": "relaxed",
  "de_polymorph_ev_per_atom": 0.000,
  "formation_energy_ev_per_atom": -0.169,
  "lattice_angstrom": [[3.936, 0.000, 0.000], [0.000, 3.948, 0.000], [-0.010, -0.033, 9.739]],
  "species": ["Ho", "In", "Hg", "Hg", "Hg", "Hg"],
  "frac_coords": [[0.000, 0.000, 0.000], [0.500, 0.500, 0.500], [0.001, 0.000, 0.669], [0.499, 0.500, 0.167], [0.501, 0.500, 0.833], [0.999, 0.000, 0.331]]
}



{
  "formula": "BaSbOs2Pt",
  "functional": "GGA-PBE",
  "state": "relaxed",
  "formation_energy_uncorrected_ev_per_fu": 7.04,
  "lattice_angstrom": [[4.867, 0.000, 0.000], [0.000, 4.867, 0.000], [0.000, 0.000, 5.796]],
  "species": ["Ba", "Sb", "Os", "Os", "Pt"],
  "frac_coords": [[0.000, 0.000, 0.000], [0.500, 0.500, 0.000], [0.000, 0.500, 0.500], [0.500, 0.000, 0.500], [0.000, 0.000, 0.500]]
}



{
  "formula": "Th5Tl2Tc2",
  "functional": "GGA-PBE",
  "state": "relaxed",
  "formation_energy_ev_per_atom": -0.149,
  "lattice_angstrom": [[8.286, -3.948, 0.000], [8.286, 3.948, 0.000], [0.000, 0.000, 7.913]],
  "species": ["Th", "Th", "Th", "Th", "Th", "Th", "Th", "Th", "Th", "Th", "Tl", "Tl", "Tl", "Tl", "Tc", "Tc", "Tc", "Tc"],
  "frac_coords": [[0.000, 0.000, 0.000], [0.050, 0.724, 0.661], [0.224, 0.550, 0.161], [0.276, 0.950, 0.661], [0.450, 0.776, 0.161], [0.500, 0.500, 0.500], [0.550, 0.224, 0.839], [0.724, 0.050, 0.339], [0.776, 0.450, 0.839], [0.950, 0.276, 0.339], [0.218, 0.218, 0.000], [0.282, 0.282, 0.500], [0.718, 0.718, 0.500], [0.782, 0.782, 0.000], [0.138, 0.862, 0.360], [0.362, 0.638, 0.860], [0.638, 0.362, 0.140], [0.862, 0.138, 0.640]]
}



{
  "formula": "Cs2ZrS",
  "functional": "GGA-PBE",
  "state": "relaxed",
  "de_polymorph_ev_per_atom": 0.824,
  "formation_energy_uncorrected_ev_per_fu": 2.79,
  "lattice_angstrom": [[0.000, 4.341, 4.341], [4.341, 0.000, 4.341], [4.341, 4.341, 0.000]],
  "species": ["Cs", "Cs", "Zr", "S"],
  "frac_coords": [[0.250, 0.250, 0.250], [0.750, 0.750, 0.750], [0.000, 0.000, 0.000], [0.500, 0.500, 0.500]]
}



{
  "formula": "PmYHoTl",
  "functional": "GGA-PBE",
  "state": "relaxed",
  "de_polymorph_ev_per_atom": 0.000,
  "formation_energy_ev_per_atom": -0.189,
  "lattice_angstrom": [[4.848, 0.000, 0.000], [0.000, 4.888, 0.000], [0.000, 0.000, 4.939]],
  "species": ["Pm", "Y", "Ho", "Tl"],
  "frac_coords": [[0.000, 0.000, 0.000], [0.500, 0.000, 0.500], [0.500, 0.500, 0.000], [0.000, 0.500, 0.500]]
}



{
  "formula": "ScMo2Pd",
  "functional": "GGA-PBE",
  "state": "relaxed",
  "de_polymorph_ev_per_atom": 0.000,
  "formation_energy_ev_per_atom": 0.374,
  "lattice_angstrom": [[0.000, 3.213, 3.213], [3.213, 0.000, 3.213], [3.213, 3.213, 0.000]],
  "species": ["Sc", "Mo", "Mo", "Pd"],
  "frac_coords": [[0.000, 0.000, 0.000], [0.250, 0.250, 0.250], [0.750, 0.750, 0.750], [0.500, 0.500, 0.500]]
}



{
  "formula": "NdSmHo6",
  "functional": "GGA-PBE",
  "state": "relaxed",
  "formation_energy_ev_per_atom": 0.150,
  "lattice_angstrom": [[4.814, 2.779, 3.268], [-4.814, 2.779, 3.268], [0.000, -5.558, 3.268]],
  "species": ["Nd", "Sm", "Ho", "Ho", "Ho", "Ho", "Ho", "Ho"],
  "frac_coords": [[0.000, 0.000, 0.000], [0.500, 0.500, 0.500], [0.046, 0.454, 0.749], [0.251, 0.954, 0.546], [0.454, 0.749, 0.046], [0.546, 0.251, 0.954], [0.749, 0.046, 0.454], [0.954, 0.546, 0.251]]
}



{
  "formula": "Ca2TlZnBi",
  "functional": "GGA-PBE",
  "state": "relaxed",
  "formation_energy_ev_per_atom": 0.011,
  "lattice_angstrom": [[5.932, 0.000, 0.000], [0.000, 5.932, 0.000], [0.000, 0.000, 4.936]],
  "species": ["Ca", "Ca", "Tl", "Zn", "Bi"],
  "frac_coords": [[0.000, 0.500, 0.000], [0.500, 0.000, 0.000], [0.000, 0.000, 0.000], [0.000, 0.000, 0.500], [0.500, 0.500, 0.500]]
}



{
  "formula": "Y3ZnW",
  "functional": "GGA-PBE",
  "state": "relaxed",
  "de_polymorph_ev_per_atom": 0.375,
  "formation_energy_ev_per_atom": 1.027,
  "lattice_angstrom": [[5.282, 0.000, 0.000], [0.000, 5.282, 0.000], [0.000, 0.000, 5.282]],
  "species": ["Y", "Y", "Y", "Zn", "W"],
  "frac_coords": [[0.000, 0.000, 0.500], [0.000, 0.500, 0.000], [0.500, 0.000, 0.000], [0.000, 0.000, 0.000], [0.500, 0.500, 0.500]]
}



{
  "formula": "SmDy5HoEr2",
  "functional": "GGA-PBE",
  "state": "relaxed",
  "formation_energy_ev_per_atom": 0.159,
  "lattice_angstrom": [[2.791, -9.878, 0.000], [2.791, 9.878, 0.000], [0.000, 0.000, 10.529]],
  "species": ["Sm", "Sm", "Dy", "Dy", "Dy", "Dy", "Dy", "Dy", "Dy", "Dy", "Dy", "Dy", "Ho", "Ho", "Er", "Er", "Er", "Er"],
  "frac_coords": [[0.085, 0.915, 0.500], [0.915, 0.085, 0.000], [0.021, 0.979, 0.785], [0.112, 0.888, 0.070], [0.201, 0.799, 0.755], [0.219, 0.781, 0.358], [0.482, 0.518, 0.071], [0.518, 0.482, 0.571], [0.781, 0.219, 0.858], [0.799, 0.201, 0.255], [0.888, 0.112, 0.570], [0.979, 0.021, 0.285], [0.300, 0.700, 0.058], [0.700, 0.300, 0.558], [0.386, 0.614, 0.365], [0.390, 0.610, 0.783], [0.610, 0.390, 0.283], [0.614, 0.386, 0.865]]
}



{
  "formula": "HoTm3Al2",
  "functional": "GGA-PBE",
  "state": "relaxed",
  "de_polymorph_ev_per_atom": 0.103,
  "formation_energy_ev_per_atom": -0.195,
  "lattice_angstrom": [[2.367, -7.279, 0.000], [2.367, 7.279, 0.000], [0.000, 0.000, 4.374]],
  "species": ["Ho", "Tm", "Tm", "Tm", "Al", "Al"],
  "frac_coords": [[0.000, 0.000, 0.000], [0.174, 0.826, 0.500], [0.500, 0.500, 0.500], [0.826, 0.174, 0.500], [0.341, 0.659, 0.000], [0.659, 0.341, 0.000]]
}



{
  "formula": "ZnCuAu",
  "functional": "GGA-PBE",
  "state": "relaxed",
  "de_polymorph_ev_per_atom": 0.128,
  "formation_energy_ev_per_atom": -0.005,
  "lattice_angstrom": [[4.164, 0.000, 0.000], [0.000, 2.831, 0.000], [-0.577, 0.000, 4.398]],
  "species": ["Zn", "Cu", "Au"],
  "frac_coords": [[0.000, 0.000, 0.000], [0.500, 0.500, 0.000], [0.500, 0.000, 0.500]]
}



{
  "formula": "Mn3Co2",
  "functional": "GGA-PBE",
  "state": "relaxed",
  "formation_energy_ev_per_atom": 0.129,
  "lattice_angstrom": [[1.218, -11.318, 0.000], [1.218, 11.318, 0.000], [0.000, 0.000, 3.876]],
  "species": ["Mn", "Mn", "Mn", "Mn", "Mn", "Mn", "Co", "Co", "Co", "Co"],
  "frac_coords": [[0.025, 0.975, 0.750], [0.124, 0.876, 0.750], [0.174, 0.826, 0.250], [0.826, 0.174, 0.750], [0.876, 0.124, 0.250], [0.975, 0.025, 0.250], [0.279, 0.721, 0.250], [0.425, 0.575, 0.750], [0.575, 0.425, 0.250], [0.721, 0.279, 0.750]]
}



{
  "formula": "LaHo2Th2",
  "functional": "GGA-PBE",
  "state": "relaxed",
  "de_polymorph_ev_per_atom": 0.000,
  "formation_energy_ev_per_atom": 0.018,
  "lattice_angstrom": [[1.798, 1.038, 14.567], [-1.798, 1.038, 14.567], [0.000, -2.076, 14.567]],
  "species": ["La", "Ho", "Ho", "Th", "Th"],
  "frac_coords": [[0.000, 0.000, 0.000], [0.402, 0.402, 0.402], [0.598, 0.598, 0.598], [0.199, 0.199, 0.199], [0.801, 0.801, 0.801]]
}



{
  "formula": "OsPbI2",
  "functional": "GGA-PBE",
  "state": "relaxed",
  "de_polymorph_ev_per_atom": 0.000,
  "formation_energy_uncorrected_ev_per_fu": 1.88,
  "lattice_angstrom": [[-4.835, 4.835, 2.707], [4.835, -4.835, 2.707], [4.835, 4.835, -2.707]],
  "species": ["Os", "Os", "Pb", "Pb", "I", "I", "I", "I"],
  "frac_coords": [[0.000, 0.000, 0.000], [0.750, 0.250, 0.500], [0.250, 0.750, 0.500], [0.500, 0.500, 0.000], [0.375, 0.239, 0.364], [0.761, 0.125, 0.136], [0.875, 0.011, 0.636], [0.989, 0.625, 0.864]]
}



{
  "formula": "Ho2Zr3Ni4",
  "functional": "GGA-PBE",
  "state": "relaxed",
  "formation_energy_ev_per_atom": -0.375,
  "lattice_angstrom": [[6.830, 0.000, 0.000], [0.000, 6.910, 0.000], [-2.593, 0.000, 7.295]],
  "species": ["Ho", "Ho", "Ho", "Ho", "Zr", "Zr", "Zr", "Zr", "Zr", "Zr", "Ni", "Ni", "Ni", "Ni", "Ni", "Ni", "Ni", "Ni"],
  "frac_coords": [[0.198, 0.168, 0.094], [0.198, 0.332, 0.594], [0.802, 0.668, 0.406], [0.802, 0.832, 0.906], [0.243, 0.652, 0.253], [0.243, 0.848, 0.753], [0.500, 0.000, 0.500], [0.500, 0.500, 0.000], [0.757, 0.152, 0.247], [0.757, 0.348, 0.747], [0.099, 0.548, 0.892], [0.099, 0.952, 0.392], [0.485, 0.634, 0.611], [0.485, 0.866, 0.111], [0.515, 0.134, 0.889], [0.515, 0.366, 0.389], [0.901, 0.048, 0.608], [0.901, 0.452, 0.108]]
}



{
  "formula": "Ho2Bi2O7",
  "functional": "GGA-PBE",
  "state": "relaxed",
  "formation_energy_uncorrected_ev_per_fu": -23.03,
  "lattice_angstrom": [[0.000, 5.447, 5.447], [5.447, 0.000, 5.447], [5.447, 5.447, 0.000]],
  "species": ["Ho", "Ho", "Ho", "Ho", "Bi", "Bi", "Bi", "Bi", "O", "O", "O", "O", "O", "O", "O", "O", "O", "O", "O", "O", "O", "O"],
  "frac_coords": [[0.000, 0.000, 0.000], [0.000, 0.000, 0.500], [0.000, 0.500, 0.000], [0.500, 0.000, 0.000], [0.000, 0.500, 0.500], [0.500, 0.000, 0.500], [0.500, 0.500, 0.000], [0.500, 0.500, 0.500], [0.125, 0.125, 0.125], [0.146, 0.146, 0.604], [0.146, 0.604, 0.146], [0.146, 0.604, 0.604], [0.396, 0.396, 0.854], [0.396, 0.854, 0.396], [0.396, 0.854, 0.854], [0.604, 0.146, 0.146], [0.604, 0.146, 0.604], [0.604, 0.604, 0.146], [0.854, 0.396, 0.396], [0.854, 0.396, 0.854], [0.854, 0.854, 0.396], [0.875, 0.875, 0.875]]
}



{
  "formula": "Na2Mn4Sn",
  "functional": "GGA-PBE",
  "state": "relaxed",
  "formation_energy_ev_per_atom": 1.086,
  "lattice_angstrom": [[-2.536, 2.536, 7.757], [2.536, -2.536, 7.757], [2.536, 2.536, -7.757]],
  "species": ["Na", "Na", "Mn", "Mn", "Mn", "Mn", "Sn"],
  "frac_coords": [[0.129, 0.129, 0.000], [0.871, 0.871, 0.000], [0.000, 0.500, 0.500], [0.325, 0.325, 0.000], [0.500, 0.000, 0.500], [0.675, 0.675, 0.000], [0.500, 0.500, 0.000]]
}



Looking at E_tot for the records above, in order, we have -6.373, -5.636, -4.419, -3.744, -6.951, -4.154, -1.590, -5.502, -7.100, -2.898, -4.729, -7.923, -4.469, -2.294, -5.697, -4.445, -4.441, -2.888, -8.215, -5.766, -4.038, -6.811, -6.787, -5.103 eV per atom.